A plane-wave DFT calculation with GGA-PBE was carried out for crystalline Ti3In2H at its relaxed geometry.

Computed properties:
Total magnetization, Bohr magnetons per cell: 0.00
Final energy, eV/cell: -66.7

POSCAR file:
```
Ti3In2H
1.0
-1.2321 -1.0559 -5.9180
7.5046 0.9494 -1.7317
-5.7134 -4.8338 2.0519
In Ti H
4 6 2
Direct
0.2615 0.3109 0.6892
0.7615 0.6891 0.3108
0.7615 0.3108 0.6891
0.2615 0.6892 0.3109
0.5113 0.9036 0.0964
0.0113 0.0964 0.9036
0.2610 0.5002 0.5002
0.0113 0.9036 0.0964
0.7610 0.4998 0.4998
0.5113 0.0964 0.9036
0.2612 0.0001 0.0001
0.7612 0.9999 0.9999
```


A plane-wave DFT calculation with GGA-PBE was carried out for crystalline SmDy5Bi5 at its relaxed geometry.

Computed properties:
Total magnetization, Bohr magnetons per cell: 0.00
Final energy, eV/cell: -54.5
Energy relative to the elements, eV/atom: -0.67

POSCAR file:
```
SmDy5Bi5
1.0
6.2961 0.0000 0.0000
-3.1480 6.9827 -0.0761
0.0000 -2.6973 8.4561
Dy Bi Sm
5 5 1
Direct
0.6649 0.3297 0.8303
0.3373 0.6747 0.6644
0.6627 0.3253 0.3356
0.0000 0.0000 0.5000
0.3351 0.6703 0.1697
0.1711 0.3421 0.8300
0.8289 0.6579 0.1700
0.5000 0.0000 0.0000
0.1682 0.3363 0.3386
0.8318 0.6637 0.6614
0.0000 0.0000 0.0000
```